Material: CuAg2S
Method: DFT, PBE
State: relaxed

## Properties
volume	290	Å³/cell
formation energy without anion corrections	0.3	eV/f.u.
total magnetization	0.00	μB per formula unit

abc: 6.217 4.757 11.002
angles: 90.00 117.01 90.00
Space group P2_1/c (No. 14)
One atom of each set of equivalent atoms:
Cu 0.238 0.238 0.258 (multiplicity 4)
Ag 0.279 0.731 0.127 (multiplicity 4)
Ag 0.495 0.220 0.089 (multiplicity 4)
S 0.107 0.521 0.882 (multiplicity 4)